PBE LiYHoBi, optimized geometry; calculated total energy = -4.508 eV/atom; theoretical density = 7407 kg/m³; energy relative to the elements = -299.3 meV per atom
1.0
5.3006 0.0000 0.0000
2.6503 4.5905 0.0000
2.6503 1.5302 4.3280
Y Li Bi Ho
1 1 1 1
Cartesian
7.9510 4.5905 3.2460
5.3006 3.0603 2.1640
0.0000 0.0000 0.0000
2.6503 1.5302 1.0820


PBE SmScO3, optimized geometry; E_form (uncorrected) = -3.443 eV/atom; calculated total energy = -8.628 eV/atom; theoretical density = 4979 kg/m³
1.0
3.8051 0.0000 0.0000
0.0000 5.1323 -2.2757
0.0000 -0.2569 8.4243
Sm Sc O
2 2 6
Cartesian
2.8538 0.3181 4.9133
0.9513 2.1762 2.2910
0.9513 3.2992 5.4742
2.8538 4.3275 -0.5455
2.8538 0.9723 2.6837
2.8538 2.7820 6.1815
0.9513 4.8446 -1.2529
0.9513 1.5220 4.5207
0.9513 4.1784 3.6590
2.8538 3.4482 1.2697


PBE NbNiS2, optimized geometry; E_form (uncorrected) = -0.577 eV/atom; calculated total energy = -6.603 eV/atom; theoretical density = 5169 kg/m³
1.0
-2.4437 7.3096 0.7330
-0.1505 7.1150 3.0483
0.7011 7.7100 -0.0465
Ni Nb S
1 1 2
Cartesian
0.0000 0.0000 0.0000
-0.9465 11.0673 1.8674
-1.7144 20.0460 3.3823
-0.1786 2.0886 0.3524


PBE SrHg5S6, optimized geometry; E_form (uncorrected) = -0.412 eV/atom; calculated total energy = -2.742 eV/atom; theoretical density = 6512 kg/m³
1.0
7.3745 0.1661 -0.6010
-3.1070 6.0357 -3.1239
1.0478 -0.4827 7.4601
Sr S Hg
1 6 5
Cartesian
0.0000 0.0000 0.0000
3.8646 4.8589 1.1623
0.2821 2.9794 -0.6898
0.4038 4.6299 3.0394
4.9115 1.0892 0.6957
5.0332 2.7397 4.4249
1.4508 0.8602 2.5728
0.9389 5.0069 -1.7943
-1.4809 3.9153 0.6862
2.6577 2.8595 1.8675
6.7962 1.8038 3.0489
4.3764 0.7122 5.5294


PBE NdTlIn, optimized geometry; calculated total energy = -3.632 eV/atom; theoretical density = 9083 kg/m³; polymorph energy (0 for the lowest one) = 0.023 eV per atom; energy relative to the elements = -341.0 meV per atom
1.0
5.1274 0.0000 -2.1563
0.0000 6.6225 0.0000
-0.7805 0.0000 5.3183
Nd Tl In
2 2 2
Cartesian
2.7597 4.9668 2.9751
1.5872 1.6556 0.1869
1.5495 4.9668 0.0972
2.7974 1.6556 3.0648
-0.3903 3.3112 2.6592
-0.3903 0.0000 2.6592


PBE Na2TlInHg6, optimized geometry; calculated total energy = -1.059 eV/atom; theoretical density = 9517 kg/m³; energy relative to the elements = -103.9 meV per atom
1.0
8.2200 0.0000 0.8741
0.0000 8.3595 0.0000
0.8766 0.0000 8.0595
Na Tl In Hg
4 2 2 12
Cartesian
8.0147 7.1764 3.4137
4.7535 2.9967 1.9272
4.3430 5.3629 7.0064
1.0818 1.1831 5.5199
0.0000 4.1798 0.0000
4.5483 0.0000 4.4668
0.4383 4.1798 4.0297
4.1100 0.0000 0.4371
6.4816 2.8144 6.9396
7.0241 0.8864 1.1039
7.0522 1.7925 3.9982
5.7161 5.9723 1.3427
5.7441 5.0662 4.2370
7.1633 6.9942 6.4608
1.9333 1.3654 2.4728
3.3524 3.2933 4.6966
3.3805 2.3873 7.5909
2.0724 7.4731 7.8297
2.0444 6.5671 4.9354
2.6150 5.5451 1.9940


PBE LaPa2P4, optimized geometry; calculated total energy = -7.633 eV/atom; theoretical density = 6928 kg/m³; energy relative to the elements = -1124.6 meV per atom
1.0
4.0370 0.0000 0.0000
-2.0185 6.6651 0.0000
0.0000 0.0000 12.9152
La Pa P
2 4 8
Cartesian
2.0185 1.4986 9.6864
0.0000 5.1664 3.2288
0.0000 1.7381 5.6457
2.0185 4.9270 12.1033
0.0000 1.7381 0.8119
2.0185 4.9270 7.2695
2.0185 3.5167 1.5481
2.0185 3.5167 4.9095
0.0000 3.1483 11.3671
0.0000 3.1483 8.0057
2.0185 6.0558 9.6864
0.0000 0.6092 3.2288
2.0185 0.0000 0.0000
2.0185 0.0000 6.4576


PBE Tb2CeErIn4, optimized geometry; calculated total energy = -4.264 eV/atom; theoretical density = 8267 kg/m³; energy relative to the elements = -425.4 meV per atom
1.0
-2.6684 4.5572 0.8427
-5.0756 0.4651 -1.6187
-5.3402 -1.3787 7.5146
Tb Ce Er In
2 1 1 4
Cartesian
-9.8192 2.7259 5.0711
-3.2649 0.9176 1.6675
-6.5421 1.8217 3.3693
0.0000 0.0000 0.0000
-7.5887 0.6636 6.3182
-8.7646 3.8929 2.0996
-4.3196 -0.2494 4.6390
-5.4955 2.9799 0.4204


PBE HfCdPtO6, optimized geometry; E_form (uncorrected) = -1.430 eV/atom; calculated total energy = -6.614 eV/atom; theoretical density = 8154 kg/m³
1.0
5.3750 0.0000 0.0000
-2.6875 4.6549 0.0000
0.0000 0.0000 9.4741
Hf Cd Pt O
2 2 2 12
Cartesian
0.0000 3.1033 2.3685
2.6875 1.5516 7.1055
0.0000 0.0000 0.0000
0.0000 0.0000 4.7370
2.6875 1.5516 2.3685
0.0000 3.1033 7.1055
1.7697 2.9378 1.2779
4.3468 1.6534 1.2779
-0.7415 4.5912 6.0149
-1.6593 3.0015 8.1962
1.0282 1.6534 3.4591
3.6053 2.9378 3.4591
0.7415 4.5912 8.1962
3.4290 0.0637 3.4591
-0.9178 1.7171 6.0149
1.9460 0.0637 1.2779
1.6593 3.0015 6.0149
0.9178 1.7171 8.1962


PBE La10Nd4Th, optimized geometry; calculated total energy = -4.869 eV/atom; theoretical density = 6633 kg/m³; energy relative to the elements = 182.1 meV per atom
1.0
7.4942 0.0000 3.3840
3.7471 8.1803 1.6920
0.3806 0.0000 9.1474
La Nd Th
10 4 1
Cartesian
3.9374 4.0901 6.2657
6.3894 1.7472 9.9442
1.4852 1.7466 2.5877
7.0510 6.4336 10.2423
8.3183 6.4330 5.6725
5.2325 6.4330 4.2791
7.6845 4.0901 7.9577
3.3036 1.7472 8.5508
4.5709 1.7466 3.9811
10.1368 6.4336 11.6356
5.6234 8.1802 7.5271
7.8749 3.6343 12.5313
3.7471 4.5460 1.6920
5.9986 0.0001 6.6962
0.0000 0.0000 0.0000


PBE Sb2TeRuPt, optimized geometry; E_form (uncorrected) = 1.029 eV/atom; calculated total energy = -4.312 eV/atom; theoretical density = 8006 kg/m³; polymorph energy (0 for the lowest one) = 0.350 eV per atom
1.0
5.1050 0.0000 0.0000
0.0000 5.1050 0.0000
0.0000 0.0000 5.3107
Sb Te Pt Ru
2 1 1 1
Cartesian
0.0000 2.5525 0.0000
2.5525 0.0000 0.0000
0.0000 0.0000 2.6553
0.0000 0.0000 0.0000
2.5525 2.5525 2.6553


PBE MnTlCo2Sb, optimized geometry; E_form (uncorrected) = 0.913 eV/atom; calculated total energy = -5.061 eV/atom; theoretical density = 7880 kg/m³
1.0
4.6800 0.0000 0.0000
0.0000 4.8008 0.0000
0.0000 0.0000 4.6800
Sb Tl Mn Co
1 1 1 2
Cartesian
0.0000 2.4004 0.0000
2.3400 2.4004 2.3400
0.0000 0.0000 0.0000
0.0000 0.0000 2.3400
2.3400 0.0000 0.0000


PBE CsKRb2Cl, optimized geometry; E_form (uncorrected) = -0.668 eV/atom; calculated total energy = -1.815 eV/atom; theoretical density = 1856 kg/m³; polymorph energy (0 for the lowest one) = 0.057 eV per atom
1.0
7.0585 0.0000 0.0000
0.0000 7.0585 0.0000
0.0000 0.0000 6.7953
Cs K Rb Cl
1 1 2 1
Cartesian
3.5293 3.5293 3.3976
0.0000 0.0000 3.3976
0.0000 3.5293 0.0000
3.5293 0.0000 0.0000
0.0000 0.0000 0.0000


PBE KMg2As, optimized geometry; calculated total energy = -2.372 eV/atom; theoretical density = 2471 kg/m³; energy relative to the elements = -137.7 meV per atom
1.0
-1.0894 -6.4317 -2.2148
0.9591 -5.3035 -4.2909
3.9118 -3.8425 1.7718
As K Mg
1 1 2
Cartesian
2.8362 -11.6833 -3.5504
0.9454 -3.8944 -1.1835
3.6764 -4.2841 1.2996
2.1262 -7.3473 -1.8947


PBE Ca2ScCd, optimized geometry; calculated total energy = -2.784 eV/atom; theoretical density = 3410 kg/m³; energy relative to the elements = 28.0 meV per atom
1.0
5.4010 -0.9079 0.0000
0.9544 5.3930 0.0000
-3.1777 -2.2425 3.8559
Sc Ca Cd
1 2 1
Cartesian
2.7005 -0.4539 1.9280
0.0000 0.0000 0.0000
0.4772 2.6965 1.9280
3.1777 2.2425 0.0000


PBE La8Ho5Sc, optimized geometry; calculated total energy = -4.745 eV/atom; theoretical density = 6803 kg/m³; energy relative to the elements = 157.7 meV per atom
1.0
-6.9287 5.0729 -0.5421
-1.2725 -7.3058 4.4450
5.5166 5.5145 3.6320
La Ho Sc
8 5 1
Cartesian
3.2491 0.8611 6.1809
-2.9051 7.4197 2.4742
-3.9018 3.7888 1.7597
-0.0734 6.0033 4.4403
-2.9668 -0.0557 3.8727
-0.4302 0.7406 6.4845
0.4552 1.3944 3.0771
1.4629 -2.3495 5.2375
-0.4525 -1.7970 2.3364
-6.5123 -0.8569 3.9349
-1.9770 3.1660 4.6404
-1.8392 -3.0574 5.6848
-1.9696 0.7276 0.5820
1.5433 3.4436 5.3050


PBE Sc2CrTc, optimized geometry; calculated total energy = -7.549 eV/atom; theoretical density = 5603 kg/m³; polymorph energy (0 for the lowest one) = 0.656 eV per atom; energy relative to the elements = 614.3 meV per atom
1.0
1.7183 0.0000 9.2687
-0.8591 1.4881 9.2687
-0.8591 -1.4881 9.2687
Sc Cr Tc
2 1 1
Cartesian
0.0000 0.0000 25.2924
0.0000 0.0000 2.5136
0.0000 0.0000 0.0000
0.0000 0.0000 13.9030


PBE AcSbAsRh3, optimized geometry; E_form (uncorrected) = -0.675 eV/atom; calculated total energy = -6.497 eV/atom; theoretical density = 8910 kg/m³
1.0
-5.4435 -0.0039 -2.0706
-1.4356 -4.3107 3.7824
-1.3410 7.5811 3.5110
Ac Sb As Rh
2 2 2 6
Cartesian
-5.2641 3.1106 1.5471
-2.9560 0.1558 3.6757
-1.7604 1.0519 0.5307
-6.4597 2.2145 4.6921
-3.0639 4.4871 3.9510
-5.1562 -1.2207 1.2718
-2.4341 2.8275 2.2986
-0.3717 -1.1160 0.9792
-3.7857 -3.1967 1.7679
-3.0934 -1.1180 -0.0561
-1.0640 -3.1947 2.8032
-5.7860 0.4389 2.9242


PBE Ac2Tb4Sn3N2, optimized geometry; E_form (uncorrected) = -1.009 eV/atom; calculated total energy = -6.045 eV/atom; theoretical density = 7996 kg/m³
1.0
4.8338 0.0000 0.0000
0.0000 4.8338 0.0000
-2.4169 -2.4169 13.0984
Ac Tb Sn N
2 4 3 2
Cartesian
0.0000 0.0000 8.1049
2.4169 2.4169 4.9936
0.0000 2.4169 11.0024
2.4169 0.0000 11.0024
0.0000 2.4169 2.0960
2.4169 0.0000 2.0960
0.0000 0.0000 0.0000
0.0000 0.0000 4.4157
2.4169 2.4169 8.6828
0.0000 0.0000 10.6090
2.4169 2.4169 2.4894


PBE Nd5Ho3Mg12, optimized geometry; calculated total energy = -2.160 eV/atom; theoretical density = 3348 kg/m³; energy relative to the elements = 675.2 meV per atom
1.0
-14.9623 2.1842 4.3018
5.1050 -13.7744 5.5991
8.8666 11.6199 5.7886
Ho Nd Mg
12 20 48
Cartesian
-8.1990 -2.0747 6.0496
-8.1549 -6.9671 8.6870
3.7595 -2.2493 9.4304
0.2225 3.1817 3.9461
-10.2372 3.0944 5.9111
-0.2036 -4.8850 6.5598
-0.7871 4.9146 9.1298
9.2465 -3.0647 9.7785
-1.2132 -3.1520 11.7435
-4.7502 2.2790 6.2592
7.1642 6.9968 7.0026
7.2083 2.1044 9.6400
2.2607 -1.9874 4.0846
2.5525 -6.8872 2.7996
0.0000 0.0000 0.0000
-3.2263 -1.1720 3.7366
-3.0478 6.9021 5.0452
-4.9286 -5.7951 4.9505
5.2834 -5.7003 6.9078
-2.8253 10.0838 8.9913
-4.7061 -2.6134 8.8966
1.6772 7.8122 6.6545
-2.6679 -7.7825 9.0351
-0.4954 0.0148 7.8448
-7.4811 1.0921 2.1509
4.4333 5.8099 2.8943
3.7154 2.6431 6.7930
1.8346 -10.0541 6.6983
6.9858 -1.0773 5.6939
-6.2741 5.7300 8.7818
2.2356 1.2017 11.9531
-3.2514 2.0171 11.6050
-9.4280 0.4329 4.4747
1.5177 -2.2684 7.2451
-9.5843 0.3586 7.4501
-6.1648 -0.1272 4.6819
0.8462 -1.2617 10.3340
-9.4998 -4.1354 8.0152
2.4239 -4.9194 8.2618
4.9962 -10.7690 6.3612
1.8905 -3.8580 11.3593
-6.6637 -4.6249 7.2407
-6.2993 -0.0543 7.6583
-7.2675 -9.9800 9.3303
6.5938 -2.9731 8.1182
-2.3136 -4.2421 4.3381
6.6535 -8.5893 7.5379
-0.4701 5.4540 5.9853
1.6486 0.7963 2.5046
-2.3101 -7.1952 5.8496
-5.6340 -7.7207 10.3837
0.4986 -4.6520 3.4402
6.3213 -2.9549 11.0861
-1.4724 -2.8408 8.5631
-4.3891 -2.9335 12.1241
-1.5384 7.5672 10.6134
0.4816 2.8705 7.1265
3.3984 2.9632 3.5655
0.5477 -7.5375 5.0762
4.6433 7.7503 5.3059
-7.3120 2.9845 4.6035
-1.4893 4.6817 12.2494
1.3194 7.2249 9.8400
-0.5206 -5.4243 9.7043
-2.6393 -0.7667 13.1850
-7.6442 8.6190 8.1517
-7.5845 3.0028 7.5714
6.2768 10.0097 6.3593
1.3229 4.2718 11.3515
-2.8812 3.8877 4.3303
5.6730 4.6546 8.4489
5.3085 0.0840 8.0313
-5.9869 10.7987 9.3284
-3.4146 4.9491 7.4278
5.1741 0.1569 11.0077
8.5091 4.1650 7.6744
-1.8369 1.2914 5.3556
8.5936 -0.3289 8.2395
-2.5084 2.2981 8.4445
8.4373 -0.4032 11.2149